Below is a geometry-optimized KNaErF5 structure, with properties calculated at the PBE-GGA level.

Lattice parameters (Å, degrees): 7.237 10.647 8.233 90.00 109.45 90.00
Space group C2/c (No. 15)
Asymmetric unit:
K 0.000 0.161 0.250 x4
Na 0.000 0.180 0.750 x4
Er 0.000 0.500 0.000 x4
F 0.000 0.428 0.250 x4
F 0.104 0.317 0.600 x8
F 0.197 0.052 0.936 x8

Calculated values
energy relative to the elements, uncorrected = -3463 meV per atom
DOS at the Fermi energy = 0.0 states/eV per cell